## i
Here is a relaxed ZnCr3C crystal from the Alexandria database. Energies are from PBE.

POSCAR file:
```
ZnCr3C
1.0
-2.068 0.930 -4.040
-2.272 -4.030 0.235
-3.467 2.086 2.255
C Cr Zn
1 3 1
Cartesian
-3.904 -0.507 -0.775
-1.734 1.043 1.128
-1.034 0.465 -2.020
-1.136 -2.015 0.117
0.000 0.000 0.000
```

Output
spin magnetization: 2.09 μB/atom
space-group type: Pm-3m, No. 221



## ii
Here is a relaxed ZnCr3C crystal from the Alexandria database. Energies are from PBE.

POSCAR file:
```
ZnCr3C
1.0
3.854 0.000 0.000
0.000 3.854 0.000
0.000 0.000 3.854
C Cr Zn
1 3 1
Cartesian
0.000 0.000 0.000
0.000 1.927 0.000
0.000 0.000 1.927
1.927 0.000 0.000
1.927 1.927 1.927
```

Output
spin magnetization: 0.00 μB/atom
space-group type: Pm-3m, No. 221



The most stable arrangement is ii, and the next structure is 221.9 kJ/mol of atoms less stable.



## i
Here is a relaxed CsCu3C crystal from the Alexandria database. Energies are from PBE.

POSCAR file:
```
CsCu3C
1.0
-1.139 -2.717 3.159
0.177 -3.304 -2.777
4.163 -0.603 0.982
C Cs Cu
1 1 3
Cartesian
0.000 0.000 0.000
1.600 -3.312 0.682
-0.570 -1.358 1.580
2.082 -0.302 0.491
0.088 -1.652 -1.389
```

Output
spin magnetization: 0.00 μB/atom
space-group type: Pm-3m, No. 221



## ii
Here is a relaxed CsCu3C crystal from the Alexandria database. Energies are from PBE.

POSCAR file:
```
CsCu3C
1.0
5.626 0.000 0.000
0.000 5.626 0.000
0.000 0.000 5.626
C Cu Cs
1 3 1
Cartesian
2.813 2.813 2.813
2.813 0.000 0.000
0.000 0.000 2.813
0.000 2.813 0.000
0.000 0.000 0.000
```

Output
spin magnetization: 0.41 μB/atom
space-group type: Pm-3m, No. 221



The most stable arrangement is i, and the next structure is 211.2 kJ/mol of atoms less stable.



## i
Here is a relaxed CsCF3 crystal from the Alexandria database. Energies are from PBE.

POSCAR file:
```
CsCF3
1.0
-1.969 1.633 3.292
-2.234 -3.498 0.399
2.918 -1.575 2.527
F C Cs
3 1 1
Cartesian
1.459 -0.788 1.264
-0.985 0.817 1.646
-1.117 -1.749 0.199
0.000 0.000 0.000
-0.643 -1.720 3.109
```

Output
spin magnetization: 0.00 μB/atom
space-group type: Pm-3m, No. 221



## ii
Here is a relaxed CsCF3 crystal from the Alexandria database. Energies are from PBE.

POSCAR file:
```
CsCF3
1.0
4.734 0.000 0.000
0.000 4.734 0.000
0.000 0.000 4.734
F C Cs
3 1 1
Cartesian
0.000 0.000 2.367
0.000 2.367 0.000
2.367 0.000 0.000
2.367 2.367 2.367
0.000 0.000 0.000
```

Output
spin magnetization: 0.32 μB/atom
space-group type: Pm-3m, No. 221



The most stable arrangement is i, and the next structure is 128.3 kJ/mol of atoms less stable.



## i
Here is a relaxed CsCOF2 crystal from the Alexandria database. Energies are from PBE.

POSCAR file:
```
CsCOF2
1.0
4.803 0.000 0.000
0.000 4.803 0.000
0.000 0.000 3.116
Cs O F C
1 1 2 1
Cartesian
2.402 2.402 1.558
0.000 0.000 1.558
2.402 0.000 0.000
0.000 2.402 0.000
0.000 0.000 0.000
```

Output
spin magnetization: 0.00 μB/atom
space-group type: P4/mmm, No. 123



## ii
Here is a relaxed CsCOF2 crystal from the Alexandria database. Energies are from PBE.

POSCAR file:
```
CsCOF2
1.0
5.115 0.000 0.000
0.000 5.115 0.000
0.000 0.000 4.336
C F Cs O
1 2 1 1
Cartesian
2.558 2.558 2.168
2.558 0.000 0.000
0.000 2.558 0.000
0.000 0.000 0.000
0.000 0.000 2.168
```

Output
spin magnetization: 0.00 μB/atom
space-group type: P4/mmm, No. 123



The most stable arrangement is i, and the next structure is 158.3 kJ/mol of atoms less stable.



## i
Here is a relaxed CsFeC2 crystal from the Alexandria database. Energies are from PBE.

POSCAR file:
```
CsFeC2
1.0
5.819 0.000 0.000
0.000 5.819 0.000
2.909 2.909 4.113
C Fe Cs
4 2 2
Cartesian
4.364 5.818 3.085
7.273 5.820 3.085
2.909 4.364 1.028
2.910 1.455 1.028
2.909 5.819 2.056
2.909 2.909 0.000
5.819 2.909 2.056
0.000 0.000 0.000
```

Output
spin magnetization: 0.00 μB/atom
space-group type: Fd-3m, No. 227



## ii
Here is a relaxed CsFeC2 crystal from the Alexandria database. Energies are from PBE.

POSCAR file:
```
CsFeC2
1.0
0.698 -4.385 -0.644
-2.173 -3.011 2.518
-3.219 -2.541 -1.820
Cs C Fe
1 2 1
Cartesian
-2.347 -4.969 0.027
-3.520 -7.453 0.041
-1.173 -2.484 0.014
0.000 0.000 0.000
```

Output
spin magnetization: 0.52 μB/atom
space-group type: Fm-3m, No. 225



The most stable arrangement is i, and the next structure is 239.7 kJ/mol of atoms less stable.



## i
Here is a relaxed CsFe3C crystal from the Alexandria database. Energies are from PBE.

POSCAR file:
```
CsFe3C
1.0
4.114 0.000 0.000
0.000 4.114 0.000
0.000 0.000 4.114
Fe Cs C
3 1 1
Cartesian
0.000 2.057 0.000
0.000 0.000 2.057
2.057 0.000 0.000
2.057 2.057 2.057
0.000 0.000 0.000
```

Output
spin magnetization: 1.08 μB/atom
space-group type: Pm-3m, No. 221



## ii
Here is a relaxed CsFe3C crystal from the Alexandria database. Energies are from PBE.

POSCAR file:
```
CsFe3C
1.0
-0.816 -3.140 3.550
4.739 -0.569 0.586
0.038 3.598 3.191
Fe Cs C
3 1 1
Cartesian
-0.408 -1.570 1.775
0.019 1.799 1.595
2.370 -0.285 0.293
0.000 0.000 0.000
1.980 -0.055 3.664
```

Output
spin magnetization: 1.74 μB/atom
space-group type: Pm-3m, No. 221



The most stable arrangement is i, and the next structure is 241.6 kJ/mol of atoms less stable.



## i
Here is a relaxed CsTeHC crystal from the Alexandria database. Energies are from PBE.

POSCAR file:
```
CsTeHC
1.0
-0.425 2.075 2.679
-2.338 -2.978 1.936
5.511 -2.500 2.809
H Te C Cs
1 1 1 1
Cartesian
-0.402 -0.896 2.807
3.902 -3.790 3.553
2.619 -2.267 4.347
2.328 -1.056 1.187
```

Output
spin magnetization: 0.00 μB/atom
space-group type: Pmm2, No. 25



## ii
Here is a relaxed CsTeHC crystal from the Alexandria database. Energies are from PBE.

POSCAR file:
```
CsTeHC
1.0
3.529 -0.002 -0.002
0.057 4.885 0.002
0.066 1.162 5.853
Cs C H Te
1 1 1 1
Cartesian
3.048 4.900 0.266
3.071 2.509 2.381
3.072 1.533 2.922
1.307 3.488 3.397
```

Output
spin magnetization: 0.00 μB/atom
space-group type: P1, No. 1



The most stable arrangement is ii, and the next structure is 55.2 kJ/mol of atoms less stable.



## i
Here is a relaxed CsTeHC crystal from the Alexandria database. Energies are from PBE.

POSCAR file:
```
CsTeHC
1.0
-6.721 0.131 -0.354
0.116 -1.959 -2.921
5.460 -8.522 5.932
H Te Cs C
2 2 2 2
Cartesian
-0.458 -6.053 4.042
-3.130 -2.771 -0.385
1.073 -8.181 3.410
-1.715 -2.941 1.905
4.398 -8.277 5.726
1.726 -4.996 1.300
0.658 -6.065 4.094
-2.014 -2.784 -0.332
```

Output
spin magnetization: 0.00 μB/atom
space-group type: Cm, No. 8



## ii
Here is a relaxed CsTeHC crystal from the Alexandria database. Energies are from PBE.

POSCAR file:
```
CsTeHC
1.0
4.810 0.000 0.016
0.000 4.342 0.000
-0.029 0.000 5.189
Cs H Te C
1 1 1 1
Cartesian
1.593 0.000 4.704
3.891 2.171 4.044
3.990 2.171 2.228
4.011 0.000 1.875
```

Output
spin magnetization: 0.00 μB/atom
space-group type: Pm, No. 6



## iii
Here is a relaxed CsTeHC crystal from the Alexandria database. Energies are from PBE.

POSCAR file:
```
CsTeHC
1.0
4.031 0.000 -0.151
0.000 5.265 0.000
-1.737 0.000 5.069
C Te H Cs
1 1 1 1
Cartesian
2.818 2.632 1.921
0.834 2.632 2.862
2.773 2.632 0.818
0.640 0.000 0.047
```

Output
spin magnetization: 0.00 μB/atom
space-group type: Pm, No. 6



The most stable arrangement is i, and the next structure is 3.9 kJ/mol of atoms less stable.